No. 1
Material: Rb3NpPa2Te6
Method: DFT, PBE
State: relaxed

Results
Uncorrected formation energy: -0.91 eV/atom
Final energy: -5.38 eV/atom

Cell lengths 7.759, 13.439, 9.109 Å; angles 90.00, 106.49, 90.00 degrees
Space group C2/m (No. 12)
One atom of each set of equivalent atoms:
Rb: 0.000 0.000 0.000 [2 per cell]
Rb: 0.000 0.334 0.000 [4 per cell]
Np: 0.000 0.500 0.500 [2 per cell]
Pa: 0.000 0.167 0.500 [4 per cell]
Te: 0.232 0.000 0.705 [4 per cell]
Te: 0.237 0.332 0.705 [8 per cell]

=====

No. 2
Material: Pu2HfPd9
Method: DFT, PBE
State: relaxed

Results
E_form: -0.67 eV per atom
Final energy: -7.78 eV/atom

Cell lengths 4.098, 4.098, 12.357 Å; angles 90.00, 90.00, 90.00 degrees
Space group P4/mmm (No. 123)
One atom of each set of equivalent atoms:
Pu: 0.000 0.000 0.169 [2 per cell]
Hf: 0.000 0.000 0.500 [1 per cell]
Pd: 0.000 0.500 0.000 [2 per cell]
Pd: 0.000 0.500 0.343 [4 per cell]
Pd: 0.500 0.500 0.173 [2 per cell]
Pd: 0.500 0.500 0.500 [1 per cell]